CaCuIr2 after structural relaxation, computed with PBE.

Summary:
Energy relative to the elements in meV per atom: 199

a = 4.7605 Å, b = 4.7605 Å, c = 4.7605 Å
α = 127.86°, β = 127.86°, γ = 76.85°
With the nearest neighbours (Å) after each atom.
Fractional positions:
1 Ca 0.0000 0.0000 0.0000  4 Cu 2.80, 8 Ir 2.80-2.96
2 Cu 0.2500 0.7500 0.5000  4 Ca 2.80, 8 Ir 2.80-2.96
3 Ir 0.5000 0.5000 0.0000  4 Cu 2.80, 4 Ir 2.80, 4 Ca 2.96
4 Ir 0.7500 0.2500 0.5000  4 Ir 2.80, 4 Ca 2.80, 4 Cu 2.96